Entry 1:
A plane-wave DFT calculation with PBE was carried out for crystalline Nd6Zn2Pb at its relaxed geometry.

Cell: 9.588 10.019 11.411 Å, 90.00 90.00 90.00°
Space group Immm (No. 71)
One atom of each set of equivalent atoms:
Nd (0.000, 0.201, 0.227)
Nd (0.205, 0.500, 0.181)
Nd (0.209, 0.305, 0.500)
Zn (0.000, 0.361, 0.000)
Zn (0.000, 0.500, 0.383)
Pb (0.000, 0.000, 0.000)
Pb (0.000, 0.000, 0.500)

Calculated values
The formation energy comes out at -0.231 eV/atom. Its mass density is 7.29 Mg/m³.

---

Entry 2:
A plane-wave DFT calculation with PBE was carried out for crystalline NdZn2Pb at its relaxed geometry.

Cell: 4.6420 4.6420 15.5848 Å, 90.00 90.00 120.00°
Space group R-3m (No. 166, hexagonal axes)
One atom of each set of equivalent atoms:
Nd (0.0000, 0.0000, 0.0000)
Zn (0.0000, 0.0000, 0.2353)
Pb (0.0000, 0.0000, 0.5000)

Calculated values
The formation energy comes out at -0.194 eV/atom. The value obtained for the energy relative to the lowest polymorph listed for this composition is 84 meV per atom. Its mass density is 8.26 Mg/m³.

---

Entry 3:
A plane-wave DFT calculation with PBE was carried out for crystalline NdZnPb at its relaxed geometry.

Cell: 4.6011 4.6011 4.3356 Å, 90.00 90.00 120.00°
Space group P3m1 (No. 156)
One atom of each set of equivalent atoms:
Nd (0.0000, 0.0000, 0.0000)
Zn (0.3333, 0.6667, 0.3777)
Pb (0.6667, 0.3333, 0.5391)

Calculated values
The formation energy comes out at -0.392 eV/atom. Its mass density is 8.71 Mg/m³.

---

Entry 4:
A plane-wave DFT calculation with PBE was carried out for crystalline Nd8ZnPb2 at its relaxed geometry.

Cell: 19.868 5.277 6.951 Å, 90.00 105.33 90.00°
Space group C2/m (No. 12)
One atom of each set of equivalent atoms:
Nd (0.013, 0.000, 0.279)
Nd (0.091, 0.500, 0.974)
Nd (0.152, 0.500, 0.501)
Nd (0.213, 0.000, 0.820)
Zn (0.000, 0.500, 0.500)
Pb (0.178, 0.000, 0.255)

Calculated values
The formation energy comes out at -0.238 eV/atom. Its mass density is 7.72 Mg/m³.

---

Entry 5:
A plane-wave DFT calculation with PBE was carried out for crystalline Nd2ZnPb2 at its relaxed geometry.

Cell: 4.758 17.181 7.306 Å, 90.00 90.00 90.00°
Space group Cmc2_1 (No. 36)
One atom of each set of equivalent atoms:
Nd (0.000, 0.013, 0.000)
Nd (0.000, 0.208, 0.306)
Zn (0.000, 0.409, 0.172)
Pb (0.000, 0.171, 0.764)
Pb (0.000, 0.424, 0.769)

Calculated values
The formation energy comes out at -0.415 eV/atom. Its mass density is 8.55 Mg/m³.

---

Entry 6:
A plane-wave DFT calculation with PBE was carried out for crystalline Nd2ZrPb at its relaxed geometry.

Cell: 4.832 4.832 4.828 Å, 90.00 90.00 90.00°
Space group P4/mmm (No. 123)
One atom of each set of equivalent atoms:
Nd (0.000, 0.500, 0.000)
Zr (0.000, 0.000, 0.500)
Pb (0.500, 0.500, 0.500)

Calculated values
The formation energy comes out at -0.171 eV/atom. Its mass density is 8.65 Mg/m³.

---

Entry 7:
A plane-wave DFT calculation with PBE was carried out for crystalline NdPd at its relaxed geometry.

Cell: 3.908 10.890 4.636 Å, 90.00 90.00 90.00°
Space group Cmcm (No. 63)
One atom of each set of equivalent atoms:
Nd (0.000, 0.137, 0.250)
Pd (0.000, 0.414, 0.250)

Calculated values
The formation energy comes out at -0.808 eV/atom. Its mass density is 8.44 Mg/m³.

---

Entry 8:
A plane-wave DFT calculation with PBE was carried out for crystalline Nd2Pd at its relaxed geometry.

Cell: 5.216 5.227 12.350 Å, 90.00 90.00 90.00°
Space group Fmmm (No. 69)
One atom of each set of equivalent atoms:
Nd (0.000, 0.000, 0.140)
Pd (0.000, 0.000, 0.500)

Calculated values
The formation energy comes out at -0.444 eV/atom. Its mass density is 7.79 Mg/m³.

---

Entry 9:
A plane-wave DFT calculation with PBE was carried out for crystalline Nd3Pd5 at its relaxed geometry.

Cell: 9.421 7.327 10.008 Å, 90.00 90.00 90.00°
Space group Cmcm (No. 63)
One atom of each set of equivalent atoms:
Nd (0.000, 0.129, 0.250)
Nd (0.201, 0.500, 0.000)
Pd (0.000, 0.182, 0.551)
Pd (0.000, 0.467, 0.750)
Pd (0.220, 0.212, 0.750)

Calculated values
The formation energy comes out at -0.811 eV/atom. Its mass density is 9.28 Mg/m³.

---

Entry 10:
A plane-wave DFT calculation with PBE was carried out for crystalline Nd4Pd3 at its relaxed geometry.

Cell: 14.257 4.743 5.984 Å, 90.00 106.60 90.00°
Space group C2/m (No. 12)
One atom of each set of equivalent atoms:
Nd (0.089, 0.000, 0.287)
Nd (0.160, 0.500, 0.794)
Pd (0.000, 0.500, 0.000)
Pd (0.226, 0.500, 0.321)

Calculated values
The formation energy comes out at -0.603 eV/atom. Its mass density is 7.68 Mg/m³.

---

Entry 11:
A plane-wave DFT calculation with PBE was carried out for crystalline Nd7Pd3 at its relaxed geometry.

Cell: 10.2180 10.2180 6.4714 Å, 90.00 90.00 120.00°
Space group P6_3mc (No. 186)
One atom of each set of equivalent atoms:
Nd (0.0758, 0.5379, 0.9997)
Nd (0.1253, 0.2507, 0.2933)
Nd (0.3333, 0.6667, 0.5000)
Pd (0.1896, 0.3791, 0.7431)

Calculated values
The formation energy comes out at -0.489 eV/atom. Its mass density is 7.54 Mg/m³.

---

Entry 12:
A plane-wave DFT calculation with PBE was carried out for crystalline Nd5Pd4 at its relaxed geometry.

Cell: 11.148 3.949 11.330 Å, 90.00 107.49 90.00°
Space group C2/m (No. 12)
One atom of each set of equivalent atoms:
Nd (0.000, 0.000, 0.000)
Nd (0.105, 0.000, 0.395)
Nd (0.229, 0.000, 0.815)
Pd (0.017, 0.500, 0.815)
Pd (0.119, 0.500, 0.605)

Calculated values
The formation energy comes out at -0.680 eV/atom. Its mass density is 8.01 Mg/m³.

---

Question: Which value of mass density does entry 7 give?
Answer: 8.44 Mg/m³

---

Question: Among the records above, which one has the highest mass density?
Answer: Nd3Pd5

---

Please write out number 6 again, unchanged.
A plane-wave DFT calculation with PBE was carried out for crystalline Nd2ZrPb at its relaxed geometry.

Cell: 4.832 4.832 4.828 Å, 90.00 90.00 90.00°
Space group P4/mmm (No. 123)
One atom of each set of equivalent atoms:
Nd (0.000, 0.500, 0.000)
Zr (0.000, 0.000, 0.500)
Pb (0.500, 0.500, 0.500)

Calculated values
The formation energy comes out at -0.171 eV/atom. Its mass density is 8.65 Mg/m³.